DFT (PBE-GGA) results for a geometry-optimized RbScCr2H structure.

Lattice parameters (Å, degrees): 4.9723 4.9723 8.2556 90.00 90.00 90.00
Last column: nearest neighbours and their distance in Å.
Fractional positions:
Rb: 0.0000 0.0000 0.0000  4 H 3.52
Sc: 0.0000 0.0000 0.5000  4 Cr 2.49
Cr: 0.0000 0.5000 0.5000  2 Sc 2.49
Cr: 0.5000 0.0000 0.5000  2 Sc 2.49
H: 0.5000 0.5000 0.0000  4 Rb 3.52

Properties
Symmetry: No. 123
Raw total energy in eV per atom: -4.28
Crystal system: tetragonal